Entry 1:
A plane-wave DFT calculation with PBE was carried out for an optimized crystal structure of Er2FeSi3Ir4.

abc: 4.0848 4.0848 9.9893
angles: 90.00 90.00 90.00
Space group P-4m2 (No. 115)
One atom of each set of equivalent atoms:
Er: 0.0000 0.5000 0.2471 x2
Fe: 0.5000 0.5000 0.0000 x1
Si: 0.0000 0.0000 0.0000 x1
Si: 0.0000 0.5000 0.6303 x2
Ir: 0.0000 0.0000 0.5000 x1
Ir: 0.0000 0.5000 0.8658 x2
Ir: 0.5000 0.5000 0.5000 x1

Results
energy	-78.51	eV per cell
N(E_F)	5.62	states/eV/f.u.
crystal system	tetragonal
raw formation energy	-0.92	eV per atom
M_tot	2.13	μB/cell

***

Entry 2:
A plane-wave DFT calculation with PBE was carried out for an optimized crystal structure of Er2FeSi4Ir3.

abc: 4.0920 4.0920 9.7528
angles: 90.00 90.00 90.00
Space group P-4m2 (No. 115)
One atom of each set of equivalent atoms:
Er: 0.0000 0.5000 0.2460 x2
Fe: 0.5000 0.5000 0.0000 x1
Si: 0.0000 0.0000 0.5000 x1
Si: 0.0000 0.5000 0.8768 x2
Si: 0.5000 0.5000 0.5000 x1
Ir: 0.0000 0.0000 0.0000 x1
Ir: 0.0000 0.5000 0.6312 x2

Results
energy	-75.18	eV per cell
N(E_F)	5.95	states/eV/f.u.
crystal system	tetragonal
raw formation energy	-0.93	eV per atom
M_tot	0.00	μB/cell

***

Entry 3:
A plane-wave DFT calculation with PBE was carried out for an optimized crystal structure of ErZrFeIr.

abc: 6.6048 6.6048 6.6048
angles: 90.00 90.00 90.00
Space group F-43m (No. 216)
One atom of each set of equivalent atoms:
Er: 0.0000 0.0000 0.0000 x4
Zr: 0.0000 0.0000 0.5000 x4
Fe: 0.2500 0.2500 0.2500 x4
Ir: 0.2500 0.2500 0.7500 x4

Results
energy	-128.96	eV per cell
N(E_F)	1.91	states/eV/f.u.
crystal system	cubic
M_tot	2.17	μB/cell